[1]
Material: Rb2Np3ScO12
Method: DFT, PBE-GGA
State: optimized geometry

Its calculated density is 5.7 Mg/m³.

It has space group R-3m (No. 166, hexagonal axes), with a = 7.9041 Å, b = 7.9041 Å, c = 18.2201 Å, α = 90.00°, β = 90.00° and γ = 120.00°. The distinct sites, in fractional coordinates, are Rb at (0.0000, 0.0000, 0.1262), Np at (0.0000, 0.5000, 0.0000), Sc at (0.0000, 0.0000, 0.5000), O at (0.0764, 0.5382, 0.3570) and O at (0.0765, 0.5383, 0.1025).

---

[2]
Material: Cs2HgTeBr6
Method: DFT, PBE-GGA
State: optimized geometry

Its calculated density is 3.5 Mg/m³.

It has space group R-3m (No. 166, hexagonal axes), with a = 7.9221 Å, b = 7.9221 Å, c = 55.5599 Å, α = 90.00°, β = 90.00° and γ = 120.00°. The distinct sites, in fractional coordinates, are Cs at (0.0000, 0.0000, 0.1406), Cs at (0.0000, 0.0000, 0.3084), Hg at (0.0000, 0.0000, 0.4110), Te at (0.0000, 0.0000, 0.0000), Te at (0.0000, 0.0000, 0.5000), Br at (0.0053, 0.5026, 0.1384) and Br at (0.0080, 0.5040, 0.6956).

---

[3]
Material: Ho5TmAg6
Method: DFT, PBE-GGA
State: optimized geometry

Its calculated formation energy is -332.3 meV per atom. Its calculated density is 9.6 Mg/m³.

It has space group Cmmm (No. 65), with a = 5.136 Å, b = 15.400 Å, c = 7.164 Å, α = 90.00°, β = 90.00° and γ = 90.00°. The distinct sites, in fractional coordinates, are Ho at (0.000, 0.000, 0.000), Ho at (0.000, 0.333, 0.000), Ho at (0.000, 0.334, 0.500), Tm at (0.000, 0.000, 0.500), Ag at (0.000, 0.166, 0.251) and Ag at (0.000, 0.500, 0.252).

---

[4]
Material: PaNiTe4
Method: DFT, PBE-GGA
State: optimized geometry

Its calculated density is 7.7 Mg/m³.

It has space group P2_1/c (No. 14), with a = 7.196 Å, b = 7.111 Å, c = 6.805 Å, α = 90.00°, β = 99.68° and γ = 90.00°. The distinct sites, in fractional coordinates, are Pa at (0.000, 0.000, 0.000), Ni at (0.500, 0.000, 0.500), Te at (0.200, 0.166, 0.390) and Te at (0.316, 0.720, 0.267).

---

[5]
Material: Pr2SnPd3Au12
Method: DFT, PBE-GGA
State: optimized geometry

Its calculated formation energy is 42.0 meV per atom. Its calculated density is 11.6 Mg/m³.

It has space group R-3m (No. 166, hexagonal axes), with a = 8.7844 Å, b = 8.7844 Å, c = 19.7598 Å, α = 90.00°, β = 90.00° and γ = 120.00°. The distinct sites, in fractional coordinates, are Pr at (0.0000, 0.0000, 0.1094), Sn at (0.0000, 0.0000, 0.5000), Pd at (0.0000, 0.5000, 0.0000), Au at (0.0029, 0.5014, 0.3724) and Au at (0.0205, 0.5102, 0.8670).

---

[6]
Material: SiHg2Ru
Method: DFT, PBE-GGA
State: optimized geometry

Its calculated density is 11.5 Mg/m³.

It has space group Pm (No. 6), with a = 4.009 Å, b = 3.817 Å, c = 5.359 Å, α = 90.00°, β = 110.83° and γ = 90.00°. The distinct sites, in fractional coordinates, are Si at (0.000, 0.000, 0.000), Hg at (0.414, 0.500, 0.815), Hg at (0.716, 0.000, 0.442) and Ru at (0.124, 0.500, 0.252).

---

[7]
Material: PAu2Br
Method: DFT, PBE-GGA
State: optimized geometry

Its calculated density is 10.5 Mg/m³.

It has space group Immm (No. 71), with a = 3.066 Å, b = 4.653 Å, c = 11.240 Å, α = 90.00°, β = 90.00° and γ = 90.00°. The distinct sites, in fractional coordinates, are P at (0.000, 0.000, 0.000), Au at (0.000, 0.500, 0.300) and Br at (0.000, 0.000, 0.500).

---

[8]
Material: Cs3K8Na3
Method: DFT, PBE-GGA
State: optimized geometry

Its calculated formation energy is 24.5 meV per atom. Its calculated density is 1.3 Mg/m³.

It has space group C2/m (No. 12), with a = 23.808 Å, b = 7.074 Å, c = 15.659 Å, α = 90.00°, β = 129.64° and γ = 90.00°. The distinct sites, in fractional coordinates, are Cs at (0.000, 0.000, 0.000), Cs at (0.223, 0.500, 0.737), K at (0.004, 0.500, 0.357), K at (0.118, 0.500, 0.229), K at (0.144, 0.000, 0.859), K at (0.154, 0.000, 0.446), Na at (0.000, 0.000, 0.500) and Na at (0.132, 0.500, 0.986).

---

Listing DFT total energy for the structures above in their given order: -467.0, -147.3, -96.9, -60.0, -203.1, -14.4, -23.5, -29.9 eV for the cell shown.